This record from the Alexandria database describes crystalline K2MgBr3Cl at its relaxed geometry. The functional is GGA-PBE.

Unit cell a=5.016 b=5.334 c=16.681 alpha=90.00 beta=90.00 gamma=90.00
Space group Immm (No. 71)
Asymmetric unit:
K  0.000  0.000  0.141 [4 per cell]
Mg  0.000  0.000  0.500 [2 per cell]
Br  0.000  0.000  0.339 [4 per cell]
Br  0.000  0.500  0.500 [2 per cell]
Cl  0.000  0.500  0.000 [2 per cell]

For the uncorrected formation energy, the calculation gives -1.695 eV/atom. For the magnetization, the calculation gives 0.000 μB per atom. Its total energy is -3.217 eV per atom. For the density of states at the Fermi level, the calculation gives 0.0000 states/eV per atom.

=====

This record from the Alexandria database describes crystalline K3Mg2Br2Cl5 at its relaxed geometry. The functional is GGA-PBE.

Unit cell a=5.023 b=5.023 c=26.613 alpha=90.00 beta=90.00 gamma=90.00
Space group I4/mmm (No. 139)
Asymmetric unit:
K  0.000  0.000  0.000 [2 per cell]
K  0.000  0.000  0.179 [4 per cell]
Mg  0.000  0.000  0.405 [4 per cell]
Br  0.000  0.000  0.305 [4 per cell]
Cl  0.000  0.000  0.500 [2 per cell]
Cl  0.000  0.500  0.093 [8 per cell]

For the uncorrected formation energy, the calculation gives -1.830 eV/atom. For the magnetization, the calculation gives 0.000 μB per atom. Its total energy is -3.419 eV per atom. For the density of states at the Fermi level, the calculation gives 0.0000 states/eV per atom.

=====

This record from the Alexandria database describes crystalline K3Mn2Br2Cl5 at its relaxed geometry. The functional is GGA-PBE.

Unit cell a=5.062 b=5.062 c=26.620 alpha=90.00 beta=90.00 gamma=90.00
Space group I4/mmm (No. 139)
Asymmetric unit:
K  0.000  0.000  0.000 [2 per cell]
K  0.000  0.000  0.178 [4 per cell]
Mn  0.000  0.000  0.403 [4 per cell]
Br  0.000  0.000  0.304 [4 per cell]
Cl  0.000  0.000  0.500 [2 per cell]
Cl  0.000  0.500  0.093 [8 per cell]

For the uncorrected formation energy, the calculation gives -1.455 eV/atom. For the magnetization, the calculation gives 0.833 μB per atom. Its total energy is -4.306 eV per atom.

=====

This record from the Alexandria database describes crystalline K2MnBr4Cl2 at its relaxed geometry. The functional is GGA-PBE.

Unit cell a=7.326 b=7.326 c=10.143 alpha=90.00 beta=90.00 gamma=90.00
Space group I4/mmm (No. 139)
Asymmetric unit:
K  0.000  0.500  0.250 [4 per cell]
Mn  0.000  0.000  0.000 [2 per cell]
Br  0.239  0.239  0.000 [8 per cell]
Cl  0.000  0.000  0.224 [4 per cell]

For the uncorrected formation energy, the calculation gives -1.207 eV/atom. For the magnetization, the calculation gives 0.334 μB per atom. Its total energy is -3.623 eV per atom.